Record 1
# Li2PdCl2

A geometry-optimized Li2PdCl2 structure (PBE, Alexandria).

uncorrected formation energy	-0.871	eV/atom
SG	P4/mbm (127)

a = 7.083 Å, b = 7.083 Å, c = 3.246 Å
α = 90.00°, β = 90.00°, γ = 90.00°
Element x y z (fractional)
Li (0.352, 0.852, 0.000)
Li (0.852, 0.648, 0.000)
Li (0.648, 0.148, 0.000)
Li (0.148, 0.352, 0.000)
Pd (0.000, 0.000, 0.000)
Pd (0.500, 0.500, 0.000)
Cl (0.166, 0.666, 0.500)
Cl (0.666, 0.834, 0.500)
Cl (0.834, 0.334, 0.500)
Cl (0.334, 0.166, 0.500)

Record 2
# NpZnIr

A geometry-optimized NpZnIr structure (PBE, Alexandria).

formation enthalpy at 0 K	-0.12	eV/atom
SG	I4mm (107)

a = 3.032 Å, b = 3.032 Å, c = 6.233 Å
α = 104.07°, β = 104.07°, γ = 90.00°
Element x y z (fractional)
Np (0.011, 0.011, 0.022)
Zn (0.312, 0.312, 0.623)
Ir (0.677, 0.677, 0.355)

Record 3
# LaY2Co

A geometry-optimized LaY2Co structure (PBE, Alexandria).

formation enthalpy at 0 K	0.35	eV/atom
SG	Cmmm (65)

a = 5.287 Å, b = 5.287 Å, c = 3.816 Å
α = 90.02°, β = 90.02°, γ = 100.39°
Element x y z (fractional)
Co (0.500, 0.000, 0.500)
La (0.000, 0.500, 0.500)
Y (0.000, 0.000, 0.000)
Y (0.500, 0.500, 0.000)

Record 4
# Tb2PmSmSe6

A geometry-optimized Tb2PmSmSe6 structure (PBE, Alexandria).

uncorrected formation energy	-1.850	eV/atom
SG	R3 (146)

a = 7.326 Å, b = 7.326 Å, c = 7.789 Å
α = 61.93°, β = 61.93°, γ = 59.99°
Element x y z (fractional)
Tb (0.515, 0.514, 0.457)
Tb (0.014, 0.014, 0.959)
Pm (0.814, 0.815, 0.556)
Sm (0.315, 0.315, 0.054)
Se (0.619, 0.225, 0.248)
Se (0.225, 0.908, 0.248)
Se (0.908, 0.619, 0.249)
Se (0.405, 0.725, 0.748)
Se (0.725, 0.122, 0.748)
Se (0.122, 0.405, 0.748)

Record 5
# FeNiB3

A geometry-optimized FeNiB3 structure (PBE, Alexandria).

formation enthalpy at 0 K	1.13	eV/atom
SG	Pm-3m (221)

a = 3.707 Å, b = 3.707 Å, c = 3.707 Å
α = 90.00°, β = 90.00°, γ = 90.00°
Element x y z (fractional)
Ni (0.000, 0.000, 0.000)
B (0.000, 0.500, 0.000)
B (0.000, 0.000, 0.500)
B (0.500, 0.000, 0.000)
Fe (0.500, 0.500, 0.500)

Record 6
# SrCd

A geometry-optimized SrCd structure (PBE, Alexandria).

formation enthalpy at 0 K	-0.25	eV/atom
SG	Imma (74)

a = 6.898 Å, b = 6.898 Å, c = 6.898 Å
α = 146.88°, β = 130.54°, γ = 60.82°
Element x y z (fractional)
Sr (0.524, 0.524, 0.000)
Sr (0.226, 0.726, 0.500)
Cd (0.972, 0.972, 0.000)
Cd (0.778, 0.278, 0.500)

Record 7
# TiCd2FeAu

A geometry-optimized TiCd2FeAu structure (PBE, Alexandria).

formation enthalpy at 0 K	1.23	eV/atom
SG	P4/mmm (123)

a = 5.102 Å, b = 4.972 Å, c = 5.102 Å
α = 90.00°, β = 90.00°, γ = 90.00°
Element x y z (fractional)
Ti (0.000, 0.500, 0.000)
Au (0.000, 0.000, 0.000)
Fe (0.500, 0.500, 0.500)
Cd (0.000, 0.000, 0.500)
Cd (0.500, 0.000, 0.000)

Record 8
# CrPPtCl2

A geometry-optimized CrPPtCl2 structure (PBE, Alexandria).

uncorrected formation energy	0.564	eV/atom
SG	P4/mmm (123)

a = 4.261 Å, b = 4.261 Å, c = 5.143 Å
α = 90.00°, β = 90.00°, γ = 90.00°
Element x y z (fractional)
Cr (0.000, 0.000, 0.000)
P (0.000, 0.000, 0.500)
Pt (0.500, 0.500, 0.500)
Cl (0.000, 0.500, 0.000)
Cl (0.500, 0.000, 0.000)